Record 1
The following is a GGA-PBE calculation of crystalline Ga7Ag4Hg at its relaxed geometry, from Alexandria via LeMat-Bulk.

## Properties
V   18.6 Å³/atom
E_form   0.02 eV/atom

```
data_Ga7Ag4Hg
_chemical_formula_sum 'Ga7 Ag4 Hg1'
_symmetry_space_group_name_H-M 'P -3 m 1'
_symmetry_Int_Tables_number 164
_symmetry_space_group_name_Hall '-P 3 2"'
_cell_length_a 3.1480
_cell_length_b 3.1480
_cell_length_c 26.0719
_cell_angle_alpha 90.00
_cell_angle_beta 90.00
_cell_angle_gamma 120.00
loop_
_atom_site_label
_atom_site_fract_x
_atom_site_fract_y
_atom_site_fract_z
Ga1 0.0000 0.0000 0.0000
Ga2 0.0000 0.0000 0.2439
Ga3 0.3333 0.6667 0.1639
Ga4 0.3333 0.6667 0.4075
Ag1 0.3333 0.6667 0.6747
Ag2 0.3333 0.6667 0.9172
Hg1 0.0000 0.0000 0.5000
```

***

Record 2
The following is a GGA-PBE calculation of crystalline CrOs2Rh at its relaxed geometry, from Alexandria via LeMat-Bulk.

## Properties
V   13.8 Å³/atom
E_form   0.11 eV/atom

```
data_CrOs2Rh
_chemical_formula_sum 'Cr3 Os6 Rh3'
_symmetry_space_group_name_H-M 'R 3 m'
_symmetry_Int_Tables_number 160
_symmetry_space_group_name_Hall 'R 3 -2"'
_cell_length_a 2.7025
_cell_length_b 2.7025
_cell_length_c 26.1338
_cell_angle_alpha 90.00
_cell_angle_beta 90.00
_cell_angle_gamma 120.00
loop_
_atom_site_label
_atom_site_fract_x
_atom_site_fract_y
_atom_site_fract_z
Cr1 0.0000 0.0000 0.0000
Os1 0.0000 0.0000 0.4999
Os2 0.0000 0.0000 0.7482
Rh1 0.0000 0.0000 0.2540
```

***

Record 3
The following is a GGA-PBE calculation of crystalline NaSmHo2 at its relaxed geometry, from Alexandria via LeMat-Bulk.

## Properties
V   33.9 Å³/atom
E_form   0.18 eV/atom

```
data_NaSmHo2
_chemical_formula_sum 'Na3 Sm3 Ho6'
_symmetry_space_group_name_H-M 'R -3 m'
_symmetry_Int_Tables_number 166
_symmetry_space_group_name_Hall '-R 3 2"'
_cell_length_a 3.5104
_cell_length_b 3.5104
_cell_length_c 38.0906
_cell_angle_alpha 90.00
_cell_angle_beta 90.00
_cell_angle_gamma 120.00
loop_
_atom_site_label
_atom_site_fract_x
_atom_site_fract_y
_atom_site_fract_z
Na1 0.0000 0.0000 0.0000
Sm1 0.0000 0.0000 0.5000
Ho1 0.0000 0.0000 0.0916
```

***

Record 4
The following is a GGA-PBE calculation of crystalline Li2CeLu at its relaxed geometry, from Alexandria via LeMat-Bulk.

## Properties
V   24.7 Å³/atom
E_form   0.25 eV/atom

```
data_Li2CeLu
_chemical_formula_sum 'Li2 Ce1 Lu1'
_symmetry_space_group_name_H-M 'P 4/m m m'
_symmetry_Int_Tables_number 123
_symmetry_space_group_name_Hall '-P 4 2'
_cell_length_a 3.6211
_cell_length_b 3.6211
_cell_length_c 7.5224
_cell_angle_alpha 90.00
_cell_angle_beta 90.00
_cell_angle_gamma 90.00
loop_
_atom_site_label
_atom_site_fract_x
_atom_site_fract_y
_atom_site_fract_z
Li1 0.0000 0.0000 0.2434
Ce1 0.5000 0.5000 0.5000
Lu1 0.5000 0.5000 0.0000
```